V2P2H6PbO14 after structural relaxation. Source: Alexandria via LeMat-Bulk, functional PBE+U. Values from VASP.

The value obtained for the total energy is -6.36 eV per atom.

The structure in Quantum ESPRESSO input format:
```
&SYSTEM
  ibrav = 0, nat = 50, ntyp = 5
/
ATOMIC_SPECIES
V 50.94 V.upf
P 30.97 P.upf
H 1.01 H.upf
Pb 207.20 Pb.upf
O 16.00 O.upf
CELL_PARAMETERS angstrom
4.499 -4.475 0.000
4.499 4.475 0.000
-4.356 0.000 14.740
ATOMIC_POSITIONS angstrom
V 2.321 3.903 7.370
V 4.472 0.652 1.443
V 2.294 -0.652 8.813
V 4.499 -3.903 0.000
P 0.064 1.640 8.125
P 2.242 -1.640 0.755
P 4.548 1.635 8.097
P 6.726 -1.635 0.727
H -2.909 0.568 11.989
H 0.308 1.381 4.299
H -2.154 0.424 10.585
H -0.731 -0.568 4.619
H 0.024 -0.424 3.215
H -1.870 -1.381 11.669
H 2.502 2.139 12.891
H 2.285 0.331 11.191
H 4.463 -0.331 3.821
H 4.069 1.137 12.207
H 4.680 -2.139 5.521
H 6.247 -1.137 4.838
Pb -0.575 2.661 12.012
Pb 1.603 -2.661 4.642
O 0.886 2.554 7.170
O -0.840 0.815 7.166
O 2.203 3.981 8.998
O -1.988 0.489 11.554
O 3.115 2.011 1.688
O 0.190 -0.489 4.184
O -3.018 -0.815 14.536
O 0.970 0.741 8.988
O 3.661 2.559 7.210
O 0.171 0.755 14.553
O 2.391 2.161 11.909
O 3.148 -0.741 1.618
O 5.896 2.021 1.772
O 4.521 0.601 3.510
O 2.349 -0.755 7.183
O -1.292 -2.554 14.539
O 0.937 -2.011 9.058
O 3.702 0.709 8.978
O 2.343 -0.601 10.880
O 5.417 0.849 7.062
O 5.880 -0.709 1.608
O 4.656 0.491 12.664
O 4.569 -2.161 4.539
O 3.239 -0.849 14.432
O 1.483 -2.559 14.579
O 3.718 -2.021 9.142
O 4.381 -3.981 1.628
O 6.834 -0.491 5.294
```